VASP calculation (GGA+U) on crystalline AcInFe2O6 at its relaxed geometry.

## Properties
E_tot ... -6.727 eV/atom
Space-group type ... R3, No. 146

Cell lengths 5.7033, 5.7033, 5.7033 Å; angles 58.27, 58.27, 58.27 degrees
Positions (direct):
Ac  0.0000  0.0000  0.0000
In  0.4717  0.4717  0.4717
Fe  0.2544  0.2544  0.2544
Fe  0.7582  0.7582  0.7582
O  0.0343  0.5743  0.4507
O  0.1327  0.5164  0.8951
O  0.4507  0.0343  0.5743
O  0.5164  0.8951  0.1327
O  0.5743  0.4507  0.0343
O  0.8951  0.1327  0.5164